# 1
Density functional theory data (PBE+U) for a geometry-optimized K3Co2O4 structure.

Structure (extended XYZ):
```
18
Lattice="-2.9792 -5.3469 -4.1715 0.3809 -6.2191 4.0056 -5.2018 0.6862 2.2107" Properties=species:S:1:pos:R:3 pbc="T T T"
Co -5.1994 -7.7543 0.1420
K -5.0023 -3.7415 -1.7727
O -4.2076 -3.2679 0.8378
K -0.0135 -4.7044 2.9330
O -2.1626 -3.9573 -2.4369
O -6.5712 -7.1707 1.3928
K -2.7977 -7.1383 3.8175
K -2.9154 -5.5294 -0.2989
K -4.8847 -5.3503 2.3437
O -5.6375 -6.9224 4.4817
K -7.7865 -6.1754 -0.8883
Co -1.7855 -8.3084 1.0150
O -3.5925 -7.6119 1.2069
Co -2.6007 -3.1254 1.9028
O -2.7417 -4.1390 3.5886
O -5.0584 -6.7407 -1.5438
O -1.2289 -3.7090 0.6520
Co -6.0146 -2.5713 1.0298
```

Computed properties:
**E_tot**: -88.18 eV per cell
**Crystal system**: monoclinic


# 2
Density functional theory data (PBE+U) for a geometry-optimized K3CoO structure.

Structure (extended XYZ):
```
5
Lattice="-0.3620 -3.4992 -4.0807 5.2162 -1.2171 0.5809 -1.2991 -3.9117 3.4696" Properties=species:S:1:pos:R:3 pbc="T T T"
Co 1.7775 -4.3140 -0.0151
K -0.1810 -1.7496 -2.0403
K 2.6081 -0.6085 0.2904
K -0.6495 -1.9559 1.7348
O 0.0000 0.0000 0.0000
```

Computed properties:
**E_tot**: -14.44 eV per cell
**Crystal system**: cubic


# 3
Density functional theory data (PBE+U) for a geometry-optimized K3CoO3 structure.

Structure (extended XYZ):
```
14
Lattice="-2.9263 4.7152 0.1191 -5.1930 -3.1258 -3.8418 -2.0924 -1.4680 6.7067" Properties=species:S:1:pos:R:3 pbc="T T T"
O -6.9724 0.6325 -2.3305
O -2.6891 -0.0949 2.3583
O -4.9760 1.8222 -0.3816
K -4.6086 1.8968 5.6914
O -3.2393 -0.5111 5.3144
Co -6.4705 0.9009 -0.6260
K -3.2059 -0.3472 -0.3490
K -3.9624 2.3879 2.1272
K -7.0058 0.4687 3.3329
O -5.2358 -1.7008 3.3655
Co -3.7412 -0.7794 3.6099
K -6.2493 -2.2665 0.8567
K -5.6031 -1.7754 -2.7075
O -7.5227 0.2163 0.6256
```

Computed properties:
**E_tot**: -64.68 eV per cell
**Crystal system**: monoclinic


# 4
Density functional theory data (PBE+U) for a geometry-optimized KCoO2 structure.

Structure (extended XYZ):
```
8
Lattice="-0.9847 2.6693 -1.5953 1.8003 -1.0307 -6.1707 -5.1010 -2.3475 -4.1140" Properties=species:S:1:pos:R:3 pbc="T T T"
Co -3.8921 -1.8336 -4.0003
K -0.9447 -0.4647 -3.5292
O -3.6665 -2.7991 -9.0899
K -3.3407 -0.2442 -8.3508
O -0.6188 2.0902 -2.7901
O -0.7535 -0.5885 -7.1892
Co -0.3933 1.1247 -7.8797
O -3.5318 -0.1203 -4.6908
```

Computed properties:
**E_tot**: -41.34 eV per cell
**Crystal system**: monoclinic


# 5
Density functional theory data (PBE+U) for a geometry-optimized K2Co2O3 structure.

Structure (extended XYZ):
```
14
Lattice="-3.3066 0.9971 5.5080 3.5981 -4.7443 -0.0351 4.6487 3.5096 2.1554" Properties=species:S:1:pos:R:3 pbc="T T T"
K -1.8109 0.5126 5.3708
Co 3.7832 0.6260 1.7304
Co 3.4354 2.1101 5.0898
K 3.9682 -1.1045 4.4877
O 1.8021 1.1159 5.7582
Co 1.5047 -2.3478 2.5386
O 3.1380 -1.3536 1.8701
K 6.7510 -0.7503 2.2575
O 2.3243 1.7548 1.0777
O -1.6533 0.4985 2.7540
K 0.9719 0.8668 3.1406
Co 1.1570 -0.8637 5.8979
O 0.4664 -1.6238 4.1520
O 4.4737 1.3861 3.4763
```

Computed properties:
**E_tot**: -70.25 eV per cell
**Crystal system**: monoclinic


# 6
Density functional theory data (PBE+U) for a geometry-optimized KCoO2 structure.

Structure (extended XYZ):
```
4
Lattice="-1.9084 -0.4091 -2.1424 1.3705 -0.4770 -3.0900 -0.3581 -6.0548 -0.4852" Properties=species:S:1:pos:R:3 pbc="T T T"
K -0.3581 -6.0548 -0.4852
O -0.8578 -4.7687 -4.2060
Co -0.4480 -3.4704 -2.8588
O -0.0382 -2.1721 -1.5115
```

Computed properties:
**E_tot**: -20.44 eV per cell
**Crystal system**: monoclinic


# 7
Density functional theory data (PBE+U) for a geometry-optimized KCoO2 structure.

Structure (extended XYZ):
```
8
Lattice="3.2241 -0.4412 0.1655 0.7125 6.0328 0.3407 1.6033 2.4797 6.4500" Properties=species:S:1:pos:R:3 pbc="T T T"
K 3.6661 5.3553 5.0874
O 3.3453 2.3759 4.2916
O 2.2062 7.1313 6.7136
O 2.1946 5.6955 2.6646
Co 1.6778 2.5463 5.1477
O 3.3337 0.9401 0.2426
Co 3.8621 5.5251 1.8085
K 1.8738 2.7161 1.8688
```

Computed properties:
**E_tot**: -41.55 eV per cell
**Crystal system**: triclinic


# 8
Density functional theory data (PBE+U) for a geometry-optimized K4CoO5 structure.

Structure (extended XYZ):
```
10
Lattice="-4.7378 -2.6875 -0.2725 -1.8563 -2.8080 5.3935 -5.1670 3.4344 1.3884" Properties=species:S:1:pos:R:3 pbc="T T T"
Co -0.3310 -0.1878 -0.0190
K -5.0209 -2.7218 3.3755
O -1.8094 -1.0264 -0.1041
O -5.4307 -1.5896 0.9655
O -2.4107 -1.6975 4.0984
O -9.3487 -0.3627 2.4111
K -6.8802 0.5812 3.1258
K -8.4635 -2.3520 5.0073
K -3.4377 0.2115 1.4941
O -6.3288 -0.4705 5.5440
```

Computed properties:
**E_tot**: -44.58 eV per cell
**Crystal system**: tetragonal


# 9
Density functional theory data (PBE+U) for a geometry-optimized K2CoO3 structure.

Structure (extended XYZ):
```
24
Lattice="-6.0186 -1.7842 1.3818 3.6308 -2.3023 -4.7784 4.4762 -9.0777 7.7751" Properties=species:S:1:pos:R:3 pbc="T T T"
O 3.5659 -9.9805 2.0074
Co 2.6897 -5.1882 -0.6447
O -2.5389 -2.4443 -0.2703
O 6.5342 -10.0536 2.5065
O 1.3589 -5.3571 0.4941
O 4.7597 -7.9373 3.7057
Co -0.6013 -7.9761 5.0232
K 2.1170 -9.7913 5.2962
O -2.6713 -5.2270 0.6728
K 5.9872 -8.1147 0.5582
K -0.0285 -3.3730 -0.9177
O 4.0445 -6.2700 -0.2955
O 4.6274 -10.7200 4.6488
O -1.9561 -6.8943 4.6740
K -0.5656 -10.2560 7.7412
K 2.6541 -2.9082 -3.3627
O 0.7295 -7.8072 3.8844
K 2.6879 -7.3287 1.9320
Co 4.9599 -9.7287 3.2224
O -4.4458 -3.1106 1.8720
K -3.8988 -5.0496 3.8203
K -0.5995 -5.8355 2.4465
Co -2.8715 -3.4355 1.1561
O -1.4774 -3.1837 2.3711
```

Computed properties:
**E_tot**: -118.08 eV per cell
**Crystal system**: orthorhombic


# 10
Density functional theory data (PBE+U) for a geometry-optimized KCoO2 structure.

Structure (extended XYZ):
```
8
Lattice="-1.5815 1.3718 3.2382 -0.5126 -3.6026 1.2758 7.2435 0.1932 3.4557" Properties=species:S:1:pos:R:3 pbc="T T T"
K 4.2502 -0.4304 3.4059
O 3.4348 -1.5396 5.7734
O -1.3142 0.1282 2.7476
Co 5.0076 -1.4977 6.5238
K 0.8993 -1.6073 4.5638
Co 0.1419 -0.5400 1.4459
O -0.7798 -2.3590 1.7664
O 1.7147 -0.4980 2.1963
```

Computed properties:
**E_tot**: -41.96 eV per cell
**Crystal system**: tetragonal


# 11
Density functional theory data (PBE+U) for a geometry-optimized K5CoO5 structure.

Structure (extended XYZ):
```
11
Lattice="5.4302 0.0000 0.0000 -2.7151 5.7888 -0.0905 0.0000 -2.2698 6.6591" Properties=species:S:1:pos:R:3 pbc="T T T"
O 2.7151 0.0000 0.0000
Co 0.0000 0.0000 0.0000
K 2.7151 0.0579 5.5887
O 2.7151 4.1668 0.7426
O 0.0000 0.8690 1.6724
O 0.0000 -0.6479 5.8260
O 2.7151 2.6500 4.8962
K 0.0000 2.0740 4.5643
K 2.7151 1.4450 2.0043
K 0.0000 3.4611 0.9799
K 0.0000 -1.1349 3.3295
```

Computed properties:
**E_tot**: -46.04 eV per cell
**Crystal system**: monoclinic


# 12
Density functional theory data (PBE+U) for a geometry-optimized KCoO3 structure.

Structure (extended XYZ):
```
5
Lattice="4.2642 0.0000 0.0000 0.0000 4.2642 0.0000 0.0000 0.0000 4.2642" Properties=species:S:1:pos:R:3 pbc="T T T"
Co 2.1321 2.1321 2.1321
K 0.0000 0.0000 0.0000
O 0.0000 0.0000 2.1321
O 2.1321 0.0000 0.0000
O 0.0000 2.1321 0.0000
```

Computed properties:
**E_tot**: -12.90 eV per cell
**Crystal system**: cubic


# 13
Density functional theory data (PBE+U) for a geometry-optimized K2CoO3 structure.

Structure (extended XYZ):
```
12
Lattice="5.3569 0.0000 0.0000 0.0000 6.0759 0.0554 0.0000 -2.0313 5.7265" Properties=species:S:1:pos:R:3 pbc="T T T"
O 1.3392 2.7079 3.8711
K 1.3392 2.7055 1.0881
O 2.6785 5.0739 0.7563
Co 4.0177 0.3113 0.4450
K 4.0177 1.3391 4.6939
K 4.0177 3.9502 2.8674
O 0.0000 -1.0293 5.0256
O 0.0000 5.0739 0.7563
O 4.0177 1.3367 1.9108
K 1.3392 0.0944 2.9145
Co 1.3392 3.7333 5.3369
O 2.6785 -1.0293 5.0256
```

Computed properties:
**E_tot**: -58.90 eV per cell
**Crystal system**: orthorhombic


# 14
Density functional theory data (PBE+U) for a geometry-optimized K3Co5O12 structure.

Structure (extended XYZ):
```
80
Lattice="10.9838 0.0000 0.0000 -3.6613 10.3556 0.0000 -3.6613 -5.1778 8.9682" Properties=species:S:1:pos:R:3 pbc="T T T"
K -4.5766 5.1778 6.7262
O 7.5605 -2.0206 5.3911
O 3.4233 2.0876 5.4297
O 2.6577 3.6916 0.6828
O -0.7640 -2.7183 6.0739
O 0.2380 9.2860 0.0387
K 6.4072 7.1195 1.1210
O 1.3531 -4.2153 7.3784
O 1.0035 -1.3344 8.0226
O -2.5946 2.4595 2.8943
Co -2.7459 5.8250 3.3631
O 6.4954 -0.1517 7.3398
Co -0.9153 8.4139 1.1210
O 4.4884 -1.4862 8.2854
Co 0.0000 0.0000 0.0000
O 2.0686 -2.0876 5.4297
O -1.0035 0.1517 7.3398
K 4.5766 0.6472 3.3631
O 6.2559 -3.8657 8.0612
O -0.4776 8.6623 2.8556
O -0.8271 3.8434 0.9456
O 1.5926 1.0696 0.0387
K 2.7459 5.8250 5.6051
Co -3.6613 2.5889 4.4841
O -2.5946 9.0435 0.9070
O 1.0035 1.4862 8.2854
O -0.7640 3.8657 8.0612
O 4.1388 -3.4845 6.1126
O 2.6577 6.5122 0.9456
K 8.2378 0.0000 2.2421
Co 2.7459 7.7667 2.2421
O 4.6648 5.0261 1.6285
Co -1.8306 -2.5889 4.4841
O 1.3531 3.4845 6.1126
Co 4.5766 2.5889 6.7262
O 0.2380 3.0902 3.5385
Co -0.9153 0.6472 5.6051
Co 6.4072 -0.6472 5.6051
Co 3.6613 -2.5889 4.4841
O 0.7640 1.1474 5.1670
O -1.3531 -0.7308 4.5228
O 4.1388 4.2153 7.3784
Co 4.5766 -3.2361 7.8472
O 4.4252 1.3121 0.9070
O -0.4776 0.9625 1.5898
O -2.0686 2.0206 5.3911
O -1.0667 6.3252 3.8013
K 0.9153 -0.6472 3.3631
Co 1.8306 2.5889 4.4841
Co 2.7459 1.9417 1.1210
K -2.7459 1.9417 7.8472
Co -0.9153 2.5889 2.2421
K -0.9153 4.5306 5.6051
O 6.8450 0.7308 4.5228
O 4.4252 7.8961 2.8943
O 2.0686 4.1082 8.9296
O 5.0143 5.9086 4.4455
K 6.4072 3.2361 1.1210
Co -1.8306 5.1778 0.0000
O 6.2559 2.7183 6.0739
O 2.3082 1.6933 2.8556
Co 5.4919 0.0000 0.0000
K 0.9153 5.1778 2.2421
O 4.4884 1.3344 8.0226
Co 0.9153 3.2361 7.8472
O 2.3082 9.3931 1.5898
O 5.7299 3.1572 3.5771
O -2.8342 5.3295 1.6285
Co 4.5766 4.5306 3.3631
K -2.7459 -1.9417 7.8472
O 3.4233 -4.1082 8.9296
O 4.7279 -1.1474 5.1670
O 2.8973 4.0304 3.8013
Co 3.6613 5.1778 0.0000
K 2.7459 0.0000 6.7262
O 1.5926 7.2654 3.5385
O -0.8271 6.6640 0.6828
O -3.1837 4.4470 4.4455
Co 0.9153 -2.5889 6.7262
O -3.8993 7.1984 3.5771
```

Computed properties:
**E_tot**: -414.37 eV per cell
**Crystal system**: cubic


# 15
Density functional theory data (PBE+U) for a geometry-optimized K4Co7O14 structure.

Structure (extended XYZ):
```
50
Lattice="7.5649 0.0000 0.0000 -3.7824 6.5514 0.0000 0.0000 0.0000 12.4854" Properties=species:S:1:pos:R:3 pbc="T T T"
K 2.2898 3.5753 3.1213
O 1.0564 3.1231 5.3157
O 0.5495 5.9047 0.9270
Co 4.3215 3.7443 0.0236
K 3.3237 0.1954 3.1213
K 5.7338 2.7807 3.1213
Co 1.6209 4.6810 12.4618
K 0.0000 0.0000 9.3640
O 3.2298 4.9890 5.2680
O 3.2298 4.9890 0.9747
O 0.0000 4.3676 7.2797
O 0.5526 1.5624 11.5107
O 2.1531 6.2488 7.2173
O -2.7057 5.2916 11.5107
Co 2.1615 1.8704 0.0236
O 2.7260 3.4283 7.1697
Co -1.0819 5.6146 6.2663
Co 4.8643 0.9367 6.2191
O 3.2329 0.6467 7.1697
K -1.9514 3.7707 9.3640
O -2.7057 5.2916 7.2173
Co 1.6209 4.6810 6.2663
O 3.2329 0.6467 11.5584
O 6.4881 1.2598 0.9747
Co 0.0000 0.0000 6.2427
O 1.6294 0.3026 5.2680
Co 4.3215 3.7443 6.2191
Co 4.8643 0.9367 0.0236
K 0.0000 0.0000 3.1213
O 0.5526 1.5624 7.2173
O 0.0000 4.3676 11.4484
O -1.6060 4.0749 0.9270
Co 0.0000 0.0000 0.0000
O 3.7824 2.1838 1.0370
O 2.7260 3.4283 11.5584
Co -0.5390 2.8071 6.2663
O 5.3884 2.4765 7.1697
O 6.4881 1.2598 5.2680
O 3.7824 2.1838 5.2057
Co 2.1615 1.8704 6.2191
Co -1.0819 5.6146 12.4618
Co -0.5390 2.8071 12.4618
O 5.3884 2.4765 11.5584
K 0.4588 6.3560 9.3640
O 1.6294 0.3026 0.9747
O 0.5495 5.9047 5.3157
O 1.0564 3.1231 0.9270
K 1.4926 2.9761 9.3640
O 2.1531 6.2488 11.5107
O -1.6060 4.0749 5.3157
```

Computed properties:
**E_tot**: -275.63 eV per cell
**Crystal system**: hexagonal


# 16
Density functional theory data (PBE+U) for a geometry-optimized K4CoO4 structure.

Structure (extended XYZ):
```
18
Lattice="5.9766 0.0000 0.0000 0.0000 7.4530 0.0000 0.0000 0.0000 7.4530" Properties=species:S:1:pos:R:3 pbc="T T T"
O 3.4198 0.3790 1.8658
O 0.4315 5.5923 7.0740
K 0.6984 7.2248 1.8671
O 3.4198 3.3475 1.8607
Co 4.4824 1.8633 1.8633
K 2.2899 1.8671 3.9548
K 3.6867 5.5936 0.2283
O 5.5451 1.8658 3.3475
K 0.6984 3.9548 1.8594
O 2.5568 4.1055 5.5923
O 0.4315 5.5872 4.1055
K 5.2782 3.4982 5.5936
K 5.2782 0.2283 5.5859
O 5.5451 1.8607 0.3790
Co 1.4941 5.5898 5.5898
K 2.2899 1.8594 7.2248
K 3.6867 5.5859 3.4982
O 2.5568 7.0740 5.5872
```

Computed properties:
**E_tot**: -81.19 eV per cell
**Crystal system**: tetragonal


# 17
Density functional theory data (PBE+U) for a geometry-optimized KCoO2 structure.

Structure (extended XYZ):
```
4
Lattice="2.1690 -3.4211 0.9180 -1.0971 -2.3455 3.2475 -1.6758 -3.7497 -0.6183" Properties=species:S:1:pos:R:3 pbc="T T T"
O -0.1510 -2.3791 0.8868
O -0.4530 -7.1372 2.6604
Co -0.3020 -4.7581 1.7736
K 0.0000 0.0000 0.0000
```

Computed properties:
**E_tot**: -16.75 eV per cell
**Crystal system**: cubic